Below is crystalline BaCd4Ru at its relaxed geometry, with properties calculated at the PBE level.

* electronic total energy: -53.726 eV per cell
* formation energy from the elements: 237.9 meV/atom

Lattice parameters (Å, degrees): 8.3236 8.3236 8.3236 90.00 90.00 90.00
With the nearest neighbours (Å) after each atom.
Space group F-43m (No. 216)
Unique sites:
Ba 0.0000 0.0000 0.0000  12 Cd 3.46, 4 Ru 3.60
Cd 0.1233 0.1233 0.6233  6 Cd 2.90-2.98
Ru 0.2500 0.2500 0.2500  12 Cd 3.45, 4 Ba 3.60

Below is crystalline PaAgGeO at its relaxed geometry, with properties calculated at the PBE level.

* electronic total energy: -55.486 eV per cell
* energy relative to the elements, uncorrected: -1455 meV per atom

Lattice parameters (Å, degrees): 3.9750 3.9750 8.7193 90.00 90.00 90.00
With the nearest neighbours (Å) after each atom.
Space group P4/nmm (No. 129, origin choice 2)
Unique sites:
Pa 0.2500 0.2500 0.1493  4 O 2.38
Ag 0.2500 0.7500 0.5000  4 Ge 2.70, 4 Ag 2.81
Ge 0.2500 0.2500 0.7091  4 Ag 2.70
O 0.2500 0.7500 0.0000  4 Pa 2.38

Below is crystalline SbAsW at its relaxed geometry, with properties calculated at the PBE level.

* electronic total energy: -74.237 eV per cell
* energy relative to the elements, uncorrected: 1055 meV per atom
* distance to the lowest polymorph of the same formula: 855 meV per atom

Lattice parameters (Å, degrees): 6.3664 6.3664 6.3664 90.00 90.00 90.00
With the nearest neighbours (Å) after each atom.
Space group F-43m (No. 216)
Unique sites:
Sb 0.0000 0.0000 0.0000  4 As 2.76
As 0.2500 0.2500 0.2500  4 Sb 2.76, 4 W 2.76
W 0.0000 0.0000 0.5000  4 As 2.76

Below is crystalline MgPtN2 at its relaxed geometry, with properties calculated at the PBE level.

* electronic total energy: -91.337 eV per cell
* energy relative to the elements, uncorrected: 363 meV per atom

Lattice parameters (Å, degrees): 4.5839 4.5839 10.1249 90.00 90.00 90.00
With the nearest neighbours (Å) after each atom.
Space group I-42d (No. 122)
Unique sites:
Mg 0.0000 0.0000 0.0000  4 N 2.10
Pt 0.0000 0.0000 0.5000  4 N 2.01
N 0.2329 0.2500 0.6250  2 Pt 2.01, 2 Mg 2.10

Please write out number 3 again, unchanged.
Below is crystalline SbAsW at its relaxed geometry, with properties calculated at the PBE level.

* electronic total energy: -74.237 eV per cell
* energy relative to the elements, uncorrected: 1055 meV per atom
* distance to the lowest polymorph of the same formula: 855 meV per atom

Lattice parameters (Å, degrees): 6.3664 6.3664 6.3664 90.00 90.00 90.00
With the nearest neighbours (Å) after each atom.
Space group F-43m (No. 216)
Unique sites:
Sb 0.0000 0.0000 0.0000  4 As 2.76
As 0.2500 0.2500 0.2500  4 Sb 2.76, 4 W 2.76
W 0.0000 0.0000 0.5000  4 As 2.76